This record from Alexandria via LeMat-Bulk describes an optimized crystal structure of LiNiPb2N. The functional is GGA-PBE.

density of states at the Fermi level	1.2	states/eV per cell
total energy	-3.938	eV/atom
energy relative to the elements, uncorrected	0.749	eV per atom
theoretical density	9.1	Mg/m³

Lattice parameters (Å, degrees): 5.145 5.145 3.401 90.00 90.00 90.00
Space group P4/mmm (No. 123)
Asymmetric unit:
Li1 0.000 0.000 0.000 [1 per cell]
Ni1 0.500 0.500 0.500 [1 per cell]
Pb1 0.000 0.500 0.000 [2 per cell]
N1 0.000 0.000 0.500 [1 per cell]